Here is a relaxed Ti3MnSb2P6O24 crystal from the Alexandria database. Energies are from PBE+U.

Lattice parameters (Å, degrees): 9.003 9.003 9.003 58.00 58.00 58.00
Element x y z (fractional)
Ti 0.000 0.000 0.000
Ti 0.199 0.199 0.199
Ti 0.698 0.698 0.698
Mn 0.502 0.502 0.502
Sb 0.360 0.360 0.360
Sb 0.863 0.863 0.863
P 0.092 0.803 0.389
P 0.297 0.596 0.888
P 0.389 0.092 0.803
P 0.596 0.888 0.297
P 0.803 0.389 0.092
P 0.888 0.297 0.596
O 0.039 0.847 0.229
O 0.069 0.286 0.423
O 0.100 0.761 0.937
O 0.145 0.958 0.352
O 0.229 0.039 0.847
O 0.266 0.615 0.392
O 0.286 0.423 0.069
O 0.300 0.578 0.729
O 0.352 0.145 0.958
O 0.392 0.266 0.615
O 0.423 0.069 0.286
O 0.456 0.650 0.844
O 0.576 0.931 0.770
O 0.578 0.729 0.300
O 0.615 0.392 0.266
O 0.650 0.844 0.456
O 0.729 0.300 0.578
O 0.761 0.937 0.100
O 0.770 0.576 0.931
O 0.844 0.456 0.650
O 0.847 0.229 0.039
O 0.931 0.770 0.576
O 0.937 0.100 0.761
O 0.958 0.352 0.145

## Properties
For the density of states at the Fermi level, the calculation gives 0.32 states/eV/atom. The value obtained for the calculated total energy is -7.53 eV/atom. For the size of the total moment, the calculation gives 7.0 μB per formula unit.